## AcTmSe3 (GGA-PBE)

Data for a geometry-optimized AcTmSe3 structure.

Lattice parameters (Å, degrees): 8.052 7.388 10.135 90.00 96.66 90.00
Space group P2_1/c (No. 14)
Unique sites:
Ac 0.146 0.231 0.162 x4
Tm 0.414 0.743 0.069 x4
Se 0.086 0.675 0.618 x4
Se 0.280 0.062 0.437 x4
Se 0.445 0.571 0.327 x4

* formation energy from raw total energies: -1893 meV/atom
* relative energy among the computed polymorphs: 0.060 eV/atom



## PrEu3 (GGA-PBE)

Data for a geometry-optimized PrEu3 structure.

Lattice parameters (Å, degrees): 7.7123 7.7123 6.2290 90.00 90.00 120.00
Space group P6_3/mmc (No. 194)
Unique sites:
Pr 0.3333 0.6667 0.2500 x2
Eu 0.1685 0.3370 0.7500 x6

* E_form: 0.070 eV/atom
* relative energy among the computed polymorphs: 0.012 eV/atom



## GaBi3Ir (GGA-PBE)

Data for a geometry-optimized GaBi3Ir structure.

Lattice parameters (Å, degrees): 5.281 5.281 5.281 90.00 90.00 90.00
Space group Pm-3m (No. 221)
Unique sites:
Ga 0.000 0.000 0.000 x1
Bi 0.000 0.000 0.500 x3
Ir 0.500 0.500 0.500 x1

* E_form: 1.225 eV/atom
* relative energy among the computed polymorphs: 0.683 eV/atom



## Ac6Si2Sn3 (GGA-PBE)

Data for a geometry-optimized Ac6Si2Sn3 structure.

Lattice parameters (Å, degrees): 5.867 5.867 26.124 90.00 90.00 90.00
Space group I4/mmm (No. 139)
Unique sites:
Ac 0.000 0.000 0.208 x4
Ac 0.000 0.500 0.081 x8
Si 0.000 0.000 0.097 x4
Sn 0.000 0.000 0.336 x4
Sn 0.000 0.000 0.500 x2

* formation energy from raw total energies: -287 meV/atom



Here are the calculated V numbers, same order: 29.94, 40.11, 29.46, 40.88 (Å³ per atom).
Here are the calculated E_tot numbers, same order: -5.7002, -8.8304, -3.4813, -4.6052 (eV per atom).